Entry 1:
SnTe3Pt: relaxed, PBE.

Unit cell a=5.344 b=5.344 c=5.344 alpha=90.00 beta=90.00 gamma=90.00
Atoms (fractional coordinates):
Sn 0.500 0.500 0.500
Te 0.000 0.000 0.500
Te 0.500 0.000 0.000
Te 0.000 0.500 0.000
Pt 0.000 0.000 0.000

Output
Electronic total energy (eV/cell): -18.56
Density (g cm⁻³): 7.58
Symmetry: Pm-3m (221)
Energy relative to the elements, uncorrected (eV/atom): 0.18

=====

Entry 2:
ThMnCl6: relaxed, PBE.

Unit cell a=6.701 b=6.701 c=7.175 alpha=62.14 beta=62.14 gamma=59.99
Last column: magnetic moment on the atom in μB.
Atoms (fractional coordinates):
Mn 0.000 0.000 0.000  4.42
Cl 0.897 0.620 0.242  0.03
Cl 0.380 0.759 0.758  0.03
Cl 0.103 0.380 0.758  0.03
Cl 0.759 0.103 0.758  0.03
Cl 0.620 0.241 0.242  0.03
Cl 0.241 0.897 0.242  0.03
Th 0.500 0.500 0.500  0.07

Output
Electronic total energy (eV/cell): -41.43
Density (g cm⁻³): 3.53
Symmetry: R-3 (148)
Energy relative to the elements, uncorrected (eV/atom): -1.72

=====

Number 2 is which compound?
ThMnCl6

=====

Which of these has the lowest electronic total energy?
ThMnCl6

=====

Which of these has the lowest electronic total energy?
ThMnCl6

=====

Look up the electronic total energy of the first one.
-18.56 eV/cell